# GGA-PBE NdYSb2, relaxed
# Raw formation energy ... -1.17 eV/atom
# DFT total energy ... -48.34 eV/cell
# Relative energy among the computed polymorphs ... 0.01 eV/f.u.
data_NdYSb2
_chemical_formula_sum 'Nd2 Y2 Sb4'
_space_group_name_H-M_alt 'P m m n'
_space_group_IT_number 59
_cell_length_a 4.4590
_cell_length_b 6.3111
_cell_length_c 8.9112
_cell_angle_alpha 90.00
_cell_angle_beta 90.00
_cell_angle_gamma 90.00
loop_
_space_group_symop_operation_xyz
'x,y,z'
'-x,-y,-z'
'-x+1/2,-y+1/2,z'
'x+1/2,y+1/2,-z'
'x+1/2,-y,-z'
'-x+1/2,y,z'
'-x,y+1/2,-z'
'x,-y+1/2,z'
loop_
_atom_site_label
_atom_site_type_symbol
_atom_site_fract_x
_atom_site_fract_y
_atom_site_fract_z
_atom_site_occupancy
Nd1 Nd 0.2500 0.2500 0.1264 1
Y1 Y 0.2500 0.2500 0.6244 1
Sb1 Sb 0.2500 0.7500 0.1307 1
Sb2 Sb 0.2500 0.7500 0.6186 1